Record 1
Computed, not measured: a relaxed K3Ce3ScTe8 crystal at the PBE level of DFT.

Unit cell a=9.8643 b=9.8643 c=9.8643 alpha=54.47 beta=54.47 gamma=54.47
With the nearest neighbours (Å) after each atom.
Element x y z (fractional)
1 K 0.0000 0.5000 0.5000  6 Te 3.54-3.57
2 K 0.5000 0.0000 0.5000  6 Te 3.54-3.57
3 K 0.5000 0.5000 0.0000  6 Te 3.54-3.57
4 Ce 0.0000 0.0000 0.5000  6 Te 3.16-3.17
5 Ce 0.0000 0.5000 0.0000  6 Te 3.16-3.17
6 Ce 0.5000 0.0000 0.0000  6 Te 3.16-3.17
7 Sc 0.5000 0.5000 0.5000  6 Te 3.00
8 Te 0.2382 0.2382 0.2382  3 Ce 3.17, 3 K 3.54
9 Te 0.2492 0.7259 0.7259  1 Sc 3.00, 2 Ce 3.16
10 Te 0.2741 0.2741 0.7508  1 Sc 3.00, 2 Ce 3.16
11 Te 0.2741 0.7508 0.2741  1 Sc 3.00, 2 Ce 3.16
12 Te 0.7259 0.2492 0.7259  1 Sc 3.00, 2 Ce 3.16
13 Te 0.7259 0.7259 0.2492  1 Sc 3.00, 2 Ce 3.16
14 Te 0.7508 0.2741 0.2741  1 Sc 3.00, 2 Ce 3.16
15 Te 0.7618 0.7618 0.7618  3 Ce 3.17, 3 K 3.54

Output
Its crystal system is trigonal. As for the density of states at the Fermi level: 13.6 states/eV/f.u. The calculation puts the final energy at -4.80 eV per atom.

---

Record 2
Computed, not measured: a relaxed KMgCdSn2 crystal at the PBE level of DFT.

Unit cell a=7.1279 b=7.1279 c=7.1279 alpha=139.88 beta=139.88 gamma=58.04
With the nearest neighbours (Å) after each atom.
Element x y z (fractional)
1 K 0.0000 0.0000 0.0000  8 Sn 3.75, 4 Mg 3.96, 4 Cd 3.96
2 Mg 0.7500 0.2500 0.5000  4 Sn 2.96
3 Cd 0.2500 0.7500 0.5000  4 Sn 2.96
4 Sn 0.3843 0.3843 0.0000  1 Sn 2.89, 2 Cd 2.96, 2 Mg 2.96
5 Sn 0.6157 0.6157 0.0000  1 Sn 2.89, 2 Mg 2.96, 2 Cd 2.96

Output
Its crystal system is tetragonal. The calculation puts the energy relative to the elements at -0.2086 eV per atom. As for the density of states at the Fermi level: 1.3 states/eV/f.u. The calculation puts the final energy at -2.53 eV per atom.

---

Record 3
Computed, not measured: a relaxed BaSnSe2 crystal at the PBE level of DFT.

Unit cell a=14.2141 b=4.4924 c=9.1132 alpha=90.00 beta=90.00 gamma=90.00
With the nearest neighbours (Å) after each atom.
Element x y z (fractional)
1 Ba 0.1586 0.2500 0.0464  6 Se 3.20-3.40
2 Ba 0.3414 0.7500 0.5464  6 Se 3.20-3.40
3 Ba 0.6586 0.2500 0.4536  6 Se 3.20-3.40
4 Ba 0.8414 0.7500 0.9536  6 Se 3.20-3.40
5 Sn 0.0024 0.2500 0.6379  3 Se 2.63-2.87
6 Sn 0.4976 0.7500 0.1379  3 Se 2.63-2.87
7 Sn 0.5024 0.2500 0.8621  3 Se 2.63-2.87
8 Sn 0.9976 0.7500 0.3621  3 Se 2.63-2.87
9 Se 0.0581 0.7500 0.8144  2 Sn 2.87
10 Se 0.1777 0.7500 0.2943  1 Sn 2.63
11 Se 0.3223 0.2500 0.7943  1 Sn 2.63
12 Se 0.4419 0.2500 0.3144  2 Sn 2.87
13 Se 0.5581 0.7500 0.6856  2 Sn 2.87
14 Se 0.6777 0.7500 0.2057  1 Sn 2.63
15 Se 0.8223 0.2500 0.7057  1 Sn 2.63
16 Se 0.9419 0.2500 0.1856  2 Sn 2.87

Output
Its crystal system is orthorhombic. The calculation puts the final energy at -4.41 eV per atom.

---

Record 4
Computed, not measured: a relaxed ThReS2 crystal at the PBE level of DFT.

Unit cell a=9.1019 b=9.1019 c=9.1019 alpha=20.67 beta=20.67 gamma=20.67
With the nearest neighbours (Å) after each atom.
Element x y z (fractional)
1 Th 0.0000 0.0000 0.0000  2 S 2.90
2 Re 0.5000 0.5000 0.5000  6 S 2.44
3 S 0.1085 0.1085 0.1085  3 Re 2.44
4 S 0.8915 0.8915 0.8915  3 Re 2.44

Output
Its crystal system is trigonal. As for the density of states at the Fermi level: 4.1 states/eV/f.u. The calculation puts the final energy at -7.19 eV per atom.

---

Which value of final energy does entry 2 give? -2.53 eV per atom

---

Please write out number 3 again, unchanged.
Computed, not measured: a relaxed BaSnSe2 crystal at the PBE level of DFT.

Unit cell a=14.2141 b=4.4924 c=9.1132 alpha=90.00 beta=90.00 gamma=90.00
With the nearest neighbours (Å) after each atom.
Element x y z (fractional)
1 Ba 0.1586 0.2500 0.0464  6 Se 3.20-3.40
2 Ba 0.3414 0.7500 0.5464  6 Se 3.20-3.40
3 Ba 0.6586 0.2500 0.4536  6 Se 3.20-3.40
4 Ba 0.8414 0.7500 0.9536  6 Se 3.20-3.40
5 Sn 0.0024 0.2500 0.6379  3 Se 2.63-2.87
6 Sn 0.4976 0.7500 0.1379  3 Se 2.63-2.87
7 Sn 0.5024 0.2500 0.8621  3 Se 2.63-2.87
8 Sn 0.9976 0.7500 0.3621  3 Se 2.63-2.87
9 Se 0.0581 0.7500 0.8144  2 Sn 2.87
10 Se 0.1777 0.7500 0.2943  1 Sn 2.63
11 Se 0.3223 0.2500 0.7943  1 Sn 2.63
12 Se 0.4419 0.2500 0.3144  2 Sn 2.87
13 Se 0.5581 0.7500 0.6856  2 Sn 2.87
14 Se 0.6777 0.7500 0.2057  1 Sn 2.63
15 Se 0.8223 0.2500 0.7057  1 Sn 2.63
16 Se 0.9419 0.2500 0.1856  2 Sn 2.87

Output
Its crystal system is orthorhombic. The calculation puts the final energy at -4.41 eV per atom.

---

Look up the final energy of the fourth one. -7.19 eV per atom